<A>
! AcHoSc | the Alexandria database | GGA-PBE | optimized geometry; values from VASP
! DOS at the Fermi energy in states/eV per atom: 1.588
! Space group: No. 1
&SYSTEM
  ibrav = 0, nat = 12, ntyp = 3
/
ATOMIC_SPECIES
Ac 227.00 Ac.upf
Ho 164.93 Ho.upf
Sc 44.96 Sc.upf
CELL_PARAMETERS angstrom
6.2268 0.0000 0.0000
2.1197 7.7587 0.0000
0.1426 3.3089 8.1587
ATOMIC_POSITIONS crystal
Ac 0.0000 0.0000 0.0000
Ac 0.0643 0.2831 0.5587
Ac 0.4103 0.2714 0.9035
Ac 0.6640 0.9948 0.6478
Ho 0.1582 0.5191 0.1522
Ho 0.2484 0.7529 0.7312
Ho 0.3304 0.0028 0.3186
Ho 0.7421 0.2707 0.2333
Sc 0.4891 0.5356 0.4679
Sc 0.5862 0.7417 0.0793
Sc 0.8213 0.5205 0.8203
Sc 0.9080 0.7555 0.4018

<B>
! AcHoSc | the Alexandria database | GGA-PBE | optimized geometry; values from VASP
! DOS at the Fermi energy in states/eV per atom: 1.445
! Space group: No. 107
&SYSTEM
  ibrav = 0, nat = 3, ntyp = 3
/
ATOMIC_SPECIES
Ac 227.00 Ac.upf
Ho 164.93 Ho.upf
Sc 44.96 Sc.upf
CELL_PARAMETERS angstrom
-2.0160 2.0160 6.1156
2.0160 -2.0160 6.1156
2.0160 2.0160 -6.1156
ATOMIC_POSITIONS crystal
Ac 0.0000 0.0000 0.0000
Ho 0.3073 0.3073 0.0000
Sc 0.6721 0.6721 0.0000

<C>
! AcHoSc | the Alexandria database | GGA-PBE | optimized geometry; values from VASP
! DOS at the Fermi energy in states/eV per atom: 1.600
! Space group: No. 187
&SYSTEM
  ibrav = 0, nat = 3, ntyp = 3
/
ATOMIC_SPECIES
Ac 227.00 Ac.upf
Ho 164.93 Ho.upf
Sc 44.96 Sc.upf
CELL_PARAMETERS angstrom
5.6674 0.0000 0.0000
-2.8337 4.9081 0.0000
0.0000 0.0000 3.5250
ATOMIC_POSITIONS crystal
Ac 0.0000 0.0000 0.0000
Ho 0.6667 0.3333 0.5000
Sc 0.3333 0.6667 0.0000

Most stable: <B>

<A>
! AcHoSe | the Alexandria database | GGA-PBE | optimized geometry; values from VASP
! DOS at the Fermi energy in states/eV per atom: 1.244
! Space group: No. 156
&SYSTEM
  ibrav = 0, nat = 3, ntyp = 3
/
ATOMIC_SPECIES
Ac 227.00 Ac.upf
Ho 164.93 Ho.upf
Se 78.96 Se.upf
CELL_PARAMETERS angstrom
5.0281 0.0000 0.0000
-2.5141 4.3545 0.0000
0.0000 0.0000 4.3542
ATOMIC_POSITIONS crystal
Ac 0.0000 0.0000 0.0000
Ho 0.6667 0.3333 0.4979
Se 0.3333 0.6667 0.4894

<B>
! AcHoSe | the Alexandria database | GGA-PBE | optimized geometry; values from VASP
! DOS at the Fermi energy in states/eV per atom: 0.968
! Space group: No. 187
&SYSTEM
  ibrav = 0, nat = 6, ntyp = 3
/
ATOMIC_SPECIES
Ac 227.00 Ac.upf
Ho 164.93 Ho.upf
Se 78.96 Se.upf
CELL_PARAMETERS angstrom
3.9356 0.0000 0.0000
-1.9678 3.4083 0.0000
0.0000 0.0000 14.2553
ATOMIC_POSITIONS crystal
Ac 0.0000 0.0000 0.0000
Ac 0.3333 0.6667 0.5000
Ho 0.3333 0.6667 0.2132
Ho 0.3333 0.6667 0.7868
Se 0.0000 0.0000 0.3411
Se 0.0000 0.0000 0.6589

Most stable: <B>

<A>
! Ac2HoSe4 | the Alexandria database | GGA-PBE | optimized geometry; values from VASP
! DOS at the Fermi energy in states/eV per atom: 0.319
! Space group: No. 63
&SYSTEM
  ibrav = 0, nat = 14, ntyp = 3
/
ATOMIC_SPECIES
Ac 227.00 Ac.upf
Ho 164.93 Ho.upf
Se 78.96 Se.upf
CELL_PARAMETERS angstrom
2.0606 -7.3807 0.0000
2.0606 7.3807 0.0000
0.0000 0.0000 14.4598
ATOMIC_POSITIONS crystal
Ac 0.1308 0.8692 0.5766
Ac 0.1308 0.8692 0.9234
Ac 0.8692 0.1308 0.0766
Ac 0.8692 0.1308 0.4234
Ho 0.3705 0.6295 0.7500
Ho 0.6295 0.3705 0.2500
Se 0.0091 0.9909 0.7500
Se 0.2149 0.7851 0.1286
Se 0.2149 0.7851 0.3714
Se 0.5000 0.5000 0.0000
Se 0.5000 0.5000 0.5000
Se 0.7851 0.2149 0.6286
Se 0.7851 0.2149 0.8714
Se 0.9909 0.0091 0.2500

<B>
! Ac2HoSe4 | the Alexandria database | GGA-PBE | optimized geometry; values from VASP
! DOS at the Fermi energy in states/eV per atom: 0.538
! Space group: No. 61
&SYSTEM
  ibrav = 0, nat = 28, ntyp = 3
/
ATOMIC_SPECIES
Ac 227.00 Ac.upf
Ho 164.93 Ho.upf
Se 78.96 Se.upf
CELL_PARAMETERS angstrom
7.3161 0.0000 0.0000
0.0000 8.1883 0.0000
0.0000 0.0000 15.1007
ATOMIC_POSITIONS crystal
Ac 0.0056 0.1046 0.1408
Ac 0.0056 0.3954 0.6408
Ac 0.4944 0.6046 0.1408
Ac 0.4944 0.8954 0.6408
Ac 0.5056 0.1046 0.3592
Ac 0.5056 0.3954 0.8592
Ac 0.9944 0.6046 0.3592
Ac 0.9944 0.8954 0.8592
Ho 0.0000 0.0000 0.5000
Ho 0.0000 0.5000 0.0000
Ho 0.5000 0.0000 0.0000
Ho 0.5000 0.5000 0.5000
Se 0.1265 0.5423 0.8211
Se 0.1265 0.9577 0.3211
Se 0.1807 0.6966 0.5431
Se 0.1807 0.8034 0.0431
Se 0.3193 0.1966 0.5431
Se 0.3193 0.3034 0.0431
Se 0.3735 0.0423 0.8211
Se 0.3735 0.4577 0.3211
Se 0.6265 0.5423 0.6789
Se 0.6265 0.9577 0.1789
Se 0.6807 0.6966 0.9569
Se 0.6807 0.8034 0.4569
Se 0.8193 0.1966 0.9569
Se 0.8193 0.3034 0.4569
Se 0.8735 0.0423 0.6789
Se 0.8735 0.4577 0.1789

Most stable: <B>

<A>
! Ac2HoSi | the Alexandria database | GGA-PBE | optimized geometry; values from VASP
! DOS at the Fermi energy in states/eV per atom: 2.096
! Space group: No. 166
&SYSTEM
  ibrav = 0, nat = 4, ntyp = 3
/
ATOMIC_SPECIES
Ac 227.00 Ac.upf
Ho 164.93 Ho.upf
Si 28.09 Si.upf
CELL_PARAMETERS angstrom
2.0586 1.1885 11.0177
-2.0586 1.1885 11.0177
0.0000 -2.3771 11.0177
ATOMIC_POSITIONS crystal
Ac 0.1102 0.1102 0.1102
Ac 0.8898 0.8898 0.8898
Ho 0.0000 0.0000 0.0000
Si 0.5000 0.5000 0.5000

<B>
! Ac2HoSi | the Alexandria database | GGA-PBE | optimized geometry; values from VASP
! DOS at the Fermi energy in states/eV per atom: 1.082
! Space group: No. 123
&SYSTEM
  ibrav = 0, nat = 4, ntyp = 3
/
ATOMIC_SPECIES
Ac 227.00 Ac.upf
Ho 164.93 Ho.upf
Si 28.09 Si.upf
CELL_PARAMETERS angstrom
5.0970 0.0000 0.0000
0.0000 5.0970 0.0000
0.0000 0.0000 4.8025
ATOMIC_POSITIONS crystal
Ac 0.0000 0.5000 0.0000
Ac 0.5000 0.0000 0.0000
Ho 0.0000 0.0000 0.5000
Si 0.5000 0.5000 0.5000

Most stable: <B>

<A>
! AcSm3Ho6 | the Alexandria database | GGA-PBE | optimized geometry; values from VASP
! DOS at the Fermi energy in states/eV per atom: 1.234
! Space group: No. 36
&SYSTEM
  ibrav = 0, nat = 20, ntyp = 3
/
ATOMIC_SPECIES
Ac 227.00 Ac.upf
Sm 150.36 Sm.upf
Ho 164.93 Ho.upf
CELL_PARAMETERS angstrom
4.8004 -7.7960 0.0000
4.8004 7.7960 0.0000
0.0000 0.0000 8.9863
ATOMIC_POSITIONS crystal
Ac 0.2231 0.7769 0.5000
Ac 0.7769 0.2231 0.0000
Sm 0.0485 0.9515 0.2650
Sm 0.1985 0.3155 0.0887
Sm 0.3155 0.1985 0.5887
Sm 0.6845 0.8015 0.0887
Sm 0.8015 0.6845 0.5887
Sm 0.9515 0.0485 0.7650
Ho 0.0305 0.3170 0.4162
Ho 0.1775 0.4705 0.7588
Ho 0.2859 0.7141 0.1249
Ho 0.3170 0.0305 0.9162
Ho 0.4501 0.5499 0.3982
Ho 0.4705 0.1775 0.2588
Ho 0.5295 0.8225 0.7588
Ho 0.5499 0.4501 0.8982
Ho 0.6830 0.9695 0.4162
Ho 0.7141 0.2859 0.6249
Ho 0.8225 0.5295 0.2588
Ho 0.9695 0.6830 0.9162

<B>
! AcSm3Ho6 | the Alexandria database | GGA-PBE | optimized geometry; values from VASP
! DOS at the Fermi energy in states/eV per atom: 1.754
! Space group: No. 12
&SYSTEM
  ibrav = 0, nat = 10, ntyp = 3
/
ATOMIC_SPECIES
Ac 227.00 Ac.upf
Sm 150.36 Sm.upf
Ho 164.93 Ho.upf
CELL_PARAMETERS angstrom
5.7369 -3.2873 0.0000
5.7369 3.2873 0.0000
-3.9784 0.0000 9.0307
ATOMIC_POSITIONS crystal
Ac 0.0000 0.0000 0.0000
Sm 0.0674 0.0674 0.6919
Sm 0.5000 0.5000 0.5000
Sm 0.9326 0.9326 0.3081
Ho 0.0655 0.5599 0.6849
Ho 0.3627 0.3627 0.0853
Ho 0.4401 0.9345 0.3151
Ho 0.5599 0.0655 0.6849
Ho 0.6373 0.6373 0.9147
Ho 0.9345 0.4401 0.3151

Most stable: <A>

<A>
! AcSm4Ho6 | the Alexandria database | GGA-PBE | optimized geometry; values from VASP
! DOS at the Fermi energy in states/eV per atom: 1.804
! Space group: No. 63
&SYSTEM
  ibrav = 0, nat = 22, ntyp = 3
/
ATOMIC_SPECIES
Ac 227.00 Ac.upf
Sm 150.36 Sm.upf
Ho 164.93 Ho.upf
CELL_PARAMETERS angstrom
2.9270 -4.8587 0.0000
2.9270 4.8587 0.0000
0.0000 0.0000 25.8607
ATOMIC_POSITIONS crystal
Ac 0.1942 0.8058 0.7500
Ac 0.8058 0.1942 0.2500
Sm 0.1559 0.8441 0.0427
Sm 0.1559 0.8441 0.4573
Sm 0.4657 0.5343 0.1227
Sm 0.4657 0.5343 0.3773
Sm 0.5343 0.4657 0.6227
Sm 0.5343 0.4657 0.8773
Sm 0.8441 0.1559 0.5427
Sm 0.8441 0.1559 0.9573
Ho 0.1369 0.8631 0.1803
Ho 0.1369 0.8631 0.3197
Ho 0.1914 0.8086 0.5992
Ho 0.1914 0.8086 0.9008
Ho 0.4678 0.5322 0.2500
Ho 0.5000 0.5000 0.0000
Ho 0.5000 0.5000 0.5000
Ho 0.5322 0.4678 0.7500
Ho 0.8086 0.1914 0.0992
Ho 0.8086 0.1914 0.4008
Ho 0.8631 0.1369 0.6803
Ho 0.8631 0.1369 0.8197

<B>
! AcSm4Ho6 | the Alexandria database | GGA-PBE | optimized geometry; values from VASP
! DOS at the Fermi energy in states/eV per atom: 1.713
! Space group: No. 121
&SYSTEM
  ibrav = 0, nat = 11, ntyp = 3
/
ATOMIC_SPECIES
Ac 227.00 Ac.upf
Sm 150.36 Sm.upf
Ho 164.93 Ho.upf
CELL_PARAMETERS angstrom
-3.9760 3.9760 6.3272
3.9760 -3.9760 6.3272
3.9760 3.9760 -6.3272
ATOMIC_POSITIONS crystal
Ac 0.0000 0.0000 0.0000
Sm 0.2608 0.2608 0.6652
Sm 0.4043 0.7392 0.0000
Sm 0.5957 0.5957 0.3348
Sm 0.7392 0.4043 0.0000
Ho 0.0000 0.5000 0.5000
Ho 0.0799 0.5378 0.0000
Ho 0.4622 0.4622 0.5421
Ho 0.5000 0.0000 0.5000
Ho 0.5378 0.0799 0.0000
Ho 0.9201 0.9201 0.4579

Most stable: <A>

<A>
! Ac2SmHo | the Alexandria database | GGA-PBE | optimized geometry; values from VASP
! DOS at the Fermi energy in states/eV per atom: 1.547
! Space group: No. 160
&SYSTEM
  ibrav = 0, nat = 4, ntyp = 3
/
ATOMIC_SPECIES
Ac 227.00 Ac.upf
Sm 150.36 Sm.upf
Ho 164.93 Ho.upf
CELL_PARAMETERS angstrom
1.9067 1.1009 12.1384
-1.9067 1.1009 12.1384
0.0000 -2.2017 12.1384
ATOMIC_POSITIONS crystal
Ac 0.0000 0.0000 0.0000
Ac 0.1684 0.1684 0.1684
Sm 0.7518 0.7518 0.7518
Ho 0.5833 0.5833 0.5833

<B>
! Ac2SmHo | the Alexandria database | GGA-PBE | optimized geometry; values from VASP
! DOS at the Fermi energy in states/eV per atom: 1.622
! Space group: No. 123
&SYSTEM
  ibrav = 0, nat = 4, ntyp = 3
/
ATOMIC_SPECIES
Ac 227.00 Ac.upf
Sm 150.36 Sm.upf
Ho 164.93 Ho.upf
CELL_PARAMETERS angstrom
3.8770 0.0000 0.0000
0.0000 3.8770 0.0000
0.0000 0.0000 10.1428
ATOMIC_POSITIONS crystal
Ac 0.0000 0.0000 0.2461
Ac 0.0000 0.0000 0.7539
Sm 0.5000 0.5000 0.5000
Ho 0.5000 0.5000 0.0000

Most stable: <B>

<A>
! Ac2SmHo | the Alexandria database | GGA-PBE | optimized geometry; values from VASP
! DOS at the Fermi energy in states/eV per atom: 1.765
! Space group: No. 225
&SYSTEM
  ibrav = 0, nat = 4, ntyp = 3
/
ATOMIC_SPECIES
Ac 227.00 Ac.upf
Sm 150.36 Sm.upf
Ho 164.93 Ho.upf
CELL_PARAMETERS angstrom
0.0000 4.2503 4.2503
4.2503 0.0000 4.2503
4.2503 4.2503 0.0000
ATOMIC_POSITIONS crystal
Ac 0.2500 0.2500 0.2500
Ac 0.7500 0.7500 0.7500
Sm 0.0000 0.0000 0.0000
Ho 0.5000 0.5000 0.5000

<B>
! Ac2SmHo | the Alexandria database | GGA-PBE | optimized geometry; values from VASP
! DOS at the Fermi energy in states/eV per atom: 1.300
! Space group: No. 123
&SYSTEM
  ibrav = 0, nat = 4, ntyp = 3
/
ATOMIC_SPECIES
Ac 227.00 Ac.upf
Sm 150.36 Sm.upf
Ho 164.93 Ho.upf
CELL_PARAMETERS angstrom
5.4375 0.0000 0.0000
0.0000 5.4375 0.0000
0.0000 0.0000 5.1569
ATOMIC_POSITIONS crystal
Ac 0.0000 0.5000 0.0000
Ac 0.5000 0.0000 0.0000
Sm 0.0000 0.0000 0.5000
Ho 0.5000 0.5000 0.5000

Most stable: <B>